Model one:
## Li2YHg (PBE)

Data for a geometry-optimized Li2YHg structure.

## Properties
Space-group type   R-3m (166)
Volume   97 Å³/cell

Cell lengths 10.389, 10.389, 10.389 Å; angles 18.30, 18.30, 18.30 degrees
Sites, in units of the cell vectors:
Hg 0.250 0.250 0.250
Li 0.992 0.992 0.992
Li 0.508 0.508 0.508
Y 0.750 0.750 0.750

Model two:
## Li2YHg (PBE)

Data for a geometry-optimized Li2YHg structure.

## Properties
Space-group type   R3m (160)
Volume   96 Å³/cell

Cell lengths 8.056, 8.056, 8.056 Å; angles 27.16, 27.16, 27.16 degrees
Sites, in units of the cell vectors:
Hg 0.734 0.734 0.734
Li 0.002 0.002 0.002
Li 0.268 0.268 0.268
Y 0.496 0.496 0.496

Model three:
## Li2YHg (PBE)

Data for a geometry-optimized Li2YHg structure.

## Properties
Space-group type   C2/m (12)
Volume   90 Å³/cell

Cell lengths 5.398, 5.398, 5.271 Å; angles 75.31, 75.31, 37.28 degrees
Sites, in units of the cell vectors:
Hg 0.750 0.750 0.750
Li 0.020 0.020 0.952
Li 0.480 0.480 0.548
Y 0.250 0.250 0.250

The computed energies, referenced to the most stable structure and given in meV per atom, are model one 159; model two 120; model three 0.

Model one:
## Li2YHg2 (PBE)

Data for a geometry-optimized Li2YHg2 structure.

## Properties
Space-group type   C2/m (12)
Volume   99 Å³/cell

Cell lengths 5.579, 5.579, 5.566 Å; angles 51.93, 51.93, 51.88 degrees
Sites, in units of the cell vectors:
Li 0.416 0.416 0.418
Li 0.584 0.584 0.582
Y 0.000 0.000 0.000
Hg 0.778 0.778 0.779
Hg 0.222 0.222 0.221

Model two:
## Li2YHg2 (PBE)

Data for a geometry-optimized Li2YHg2 structure.

## Properties
Space-group type   I4/mmm (139)
Volume   110 Å³/cell

Cell lengths 3.975, 3.975, 7.481 Å; angles 74.60, 74.60, 90.00 degrees
Sites, in units of the cell vectors:
Y 0.000 0.000 0.000
Hg 0.389 0.389 0.222
Hg 0.611 0.611 0.778
Li 0.750 0.250 0.500
Li 0.250 0.750 0.500

Model three:
## Li2YHg2 (PBE)

Data for a geometry-optimized Li2YHg2 structure.

## Properties
Space-group type   P4/mbm (127)
Volume   227 Å³/cell

Cell lengths 7.898, 7.898, 3.641 Å; angles 90.00, 90.00, 90.00 degrees
Sites, in units of the cell vectors:
Y 0.000 0.000 0.000
Y 0.500 0.500 0.000
Hg 0.365 0.865 0.000
Hg 0.865 0.635 0.000
Hg 0.635 0.135 0.000
Hg 0.135 0.365 0.000
Li 0.160 0.660 0.500
Li 0.660 0.840 0.500
Li 0.840 0.340 0.500
Li 0.340 0.160 0.500

The computed energies, referenced to the most stable structure and given in meV per atom, are model one 0; model two 7; model three 104.

Model one:
## LiY2Hg2 (PBE)

Data for a geometry-optimized LiY2Hg2 structure.

## Properties
Space-group type   P4/mbm (127)
Volume   261 Å³/cell

Cell lengths 8.100, 8.100, 3.985 Å; angles 90.00, 90.00, 90.00 degrees
Sites, in units of the cell vectors:
Y 0.160 0.660 0.500
Y 0.660 0.840 0.500
Y 0.840 0.340 0.500
Y 0.340 0.160 0.500
Hg 0.360 0.860 0.000
Hg 0.860 0.640 0.000
Hg 0.640 0.140 0.000
Hg 0.140 0.360 0.000
Li 0.000 0.000 0.000
Li 0.500 0.500 0.000

Model two:
## LiY2Hg2 (PBE)

Data for a geometry-optimized LiY2Hg2 structure.

## Properties
Space-group type   P4/mbm (127)
Volume   269 Å³/cell

Cell lengths 8.617, 8.617, 3.628 Å; angles 90.00, 90.00, 90.00 degrees
Sites, in units of the cell vectors:
Y 0.352 0.852 0.000
Y 0.852 0.648 0.000
Y 0.648 0.148 0.000
Y 0.148 0.352 0.000
Hg 0.149 0.649 0.500
Hg 0.649 0.851 0.500
Hg 0.851 0.351 0.500
Hg 0.351 0.149 0.500
Li 0.000 0.000 0.000
Li 0.500 0.500 0.000

The computed energies, referenced to the most stable structure and given in meV per atom, are model one 0; model two 156.

Model one:
## LiYHg (PBE)

Data for a geometry-optimized LiYHg structure.

## Properties
Space-group type   F-43m (216)
Volume   84 Å³/cell

Cell lengths 4.921, 4.921, 4.921 Å; angles 60.00, 60.00, 60.00 degrees
Sites, in units of the cell vectors:
Hg 0.000 0.000 0.000
Li 0.500 0.500 0.500
Y 0.250 0.250 0.250

Model two:
## LiYHg (PBE)

Data for a geometry-optimized LiYHg structure.

## Properties
Space-group type   P2_1/m (11)
Volume   141 Å³/cell

Cell lengths 3.628, 3.630, 10.671 Å; angles 89.97, 90.17, 90.01 degrees
Last column: magnetic moment on the atom in μB.
Sites, in units of the cell vectors:
Li 0.871 0.291 0.826  0.01
Li 0.373 0.791 0.686  0.01
Y 0.871 0.291 0.139  0.25
Y 0.374 0.791 0.373  0.25
Hg 0.874 0.291 0.551  0.01
Hg 0.370 0.791 0.962  0.01

Model three:
## LiYHg (PBE)

Data for a geometry-optimized LiYHg structure.

## Properties
Space-group type   P3m1 (156)
Volume   77 Å³/cell

Cell lengths 3.673, 3.673, 6.586 Å; angles 90.00, 90.00, 120.00 degrees
Last column: magnetic moment on the atom in μB.
Sites, in units of the cell vectors:
Hg 0.000 0.000 0.029  0.00
Li 0.667 0.333 0.291  0.01
Y 0.333 0.667 0.680  0.12

The computed energies, referenced to the most stable structure and given in meV per atom, are model one 489; model two 0; model three 194.

Model one:
## LiYHg (PBE)

Data for a geometry-optimized LiYHg structure.

## Properties
Space-group type   P-62m (189)
Volume   211 Å³/cell

Cell lengths 4.738, 7.163, 7.163 Å; angles 120.00, 90.00, 90.00 degrees
Sites, in units of the cell vectors:
Li 0.000 0.766 0.766
Li 0.000 0.000 0.234
Li 0.000 0.234 0.000
Y 0.500 0.426 0.426
Y 0.500 0.000 0.574
Y 0.500 0.574 0.000
Hg 0.000 0.333 0.667
Hg 0.000 0.667 0.333
Hg 0.500 0.000 0.000

Model two:
## LiYHg (PBE)

Data for a geometry-optimized LiYHg structure.

## Properties
Space-group type   P-6m2 (187)
Volume   69 Å³/cell

Cell lengths 4.732, 4.732, 3.568 Å; angles 90.00, 90.00, 120.00 degrees
Sites, in units of the cell vectors:
Y 0.333 0.667 0.667
Hg 0.000 0.000 0.167
Li 0.667 0.333 0.167

The computed energies, referenced to the most stable structure and given in meV per atom, are model one 0; model two 69.

Model one:
## LiYHg4 (PBE)

Data for a geometry-optimized LiYHg4 structure.

## Properties
Space-group type   P-1 (2)
Volume   138 Å³/cell

Cell lengths 5.453, 3.885, 7.632 Å; angles 75.48, 77.86, 110.88 degrees
Sites, in units of the cell vectors:
Li 0.001 0.997 0.498
Y 0.501 0.497 0.998
Hg 0.482 0.815 0.344
Hg 0.520 0.180 0.652
Hg 0.014 0.344 0.813
Hg 0.989 0.650 0.183

Model two:
## LiYHg4 (PBE)

Data for a geometry-optimized LiYHg4 structure.

## Properties
Space-group type   F-43m (216)
Volume   145 Å³/cell

Cell lengths 5.903, 5.903, 5.903 Å; angles 60.00, 60.00, 60.00 degrees
Sites, in units of the cell vectors:
Li 0.750 0.750 0.750
Y 0.000 0.000 0.000
Hg 0.375 0.875 0.375
Hg 0.875 0.375 0.375
Hg 0.375 0.375 0.875
Hg 0.375 0.375 0.375

The computed energies, referenced to the most stable structure and given in meV per atom, are model one 0; model two 205.

Model one:
## Li2Y2Hg (PBE)

Data for a geometry-optimized Li2Y2Hg structure.

## Properties
Space-group type   P4/mbm (127)
Volume   234 Å³/cell

Cell lengths 6.893, 6.893, 4.922 Å; angles 90.00, 90.00, 90.00 degrees
Last column: magnetic moment on the atom in μB.
Sites, in units of the cell vectors:
Y 0.183 0.683 0.500  0.24
Y 0.683 0.817 0.500  0.23
Y 0.817 0.317 0.500  0.24
Y 0.317 0.183 0.500  0.23
Hg 0.000 0.000 0.000  0.02
Hg 0.500 0.500 0.000  0.02
Li 0.370 0.870 0.000  0.03
Li 0.870 0.630 0.000  0.03
Li 0.630 0.130 0.000  0.03
Li 0.130 0.370 0.000  0.03

Model two:
## Li2Y2Hg (PBE)

Data for a geometry-optimized Li2Y2Hg structure.

## Properties
Space-group type   I4/mmm (139)
Volume   128 Å³/cell

Cell lengths 3.686, 3.686, 9.793 Å; angles 79.15, 79.15, 90.00 degrees
Last column: magnetic moment on the atom in μB.
Sites, in units of the cell vectors:
Y 0.402 0.402 0.195  0.09
Y 0.598 0.598 0.805  0.09
Hg 0.000 0.000 0.000  0.01
Li 0.750 0.250 0.500  0.00
Li 0.250 0.750 0.500  0.00

The computed energies, referenced to the most stable structure and given in meV per atom, are model one 0; model two 68.

Model one:
## LiYHg3 (PBE)

Data for a geometry-optimized LiYHg3 structure.

## Properties
Space-group type   P2_1/m (11)
Volume   223 Å³/cell

Cell lengths 4.821, 4.450, 10.646 Å; angles 102.20, 90.01, 90.00 degrees
Sites, in units of the cell vectors:
Li 0.250 0.248 0.496
Li 0.750 0.752 0.504
Y 0.250 0.436 0.869
Y 0.750 0.564 0.131
Hg 0.750 0.951 0.899
Hg 0.250 0.049 0.101
Hg 0.250 0.666 0.332
Hg 0.750 0.334 0.668
Hg 0.250 0.829 0.659
Hg 0.750 0.171 0.341

Model two:
## LiYHg3 (PBE)

Data for a geometry-optimized LiYHg3 structure.

## Properties
Space-group type   Pm-3m (221)
Volume   114 Å³/cell

Cell lengths 4.847, 4.847, 4.847 Å; angles 90.00, 90.00, 90.00 degrees
Sites, in units of the cell vectors:
Y 0.500 0.500 0.500
Hg 0.000 0.500 0.000
Hg 0.000 0.000 0.500
Hg 0.500 0.000 0.000
Li 0.000 0.000 0.000

Model three:
## LiYHg3 (PBE)

Data for a geometry-optimized LiYHg3 structure.

## Properties
Space-group type   Pm-3m (221)
Volume   199 Å³/cell

Cell lengths 5.835, 5.835, 5.835 Å; angles 90.00, 90.00, 90.00 degrees
Sites, in units of the cell vectors:
Y 0.000 0.000 0.000
Hg 0.000 0.500 0.000
Hg 0.000 0.000 0.500
Hg 0.500 0.000 0.000
Li 0.500 0.500 0.500

The computed energies, referenced to the most stable structure and given in meV per atom, are model one 0; model two 181; model three 618.